No. 1
# LuAl7Au3

An optimized crystal structure of LuAl7Au3 (GGA-PBE, the Alexandria database).

## Properties
DFT total energy: -0.307 Ry per atom
energy of formation from the pure elements: -486 meV per atom
symmetry: R-3c (167)
magnetic moment: 0.0 μB per cell

a b c (Å): 8.430 8.430 8.430
angles (deg): 57.14 57.14 57.14
Fractional positions:
Al  0.333  0.930  0.147
Al  0.250  0.250  0.250
Al  0.353  0.570  0.167
Au  0.925  0.250  0.575
Lu  0.500  0.500  0.500
Au  0.075  0.750  0.425
Al  0.070  0.853  0.667
Au  0.575  0.925  0.250
Al  0.750  0.750  0.750
Al  0.147  0.333  0.930
Al  0.430  0.833  0.647
Al  0.930  0.147  0.333
Au  0.250  0.575  0.925
Al  0.647  0.430  0.833
Al  0.853  0.667  0.070
Al  0.833  0.647  0.430
Al  0.570  0.167  0.353
Au  0.750  0.425  0.075
Al  0.167  0.353  0.570
Au  0.425  0.075  0.750
Lu  0.000  0.000  0.000
Al  0.667  0.070  0.853

=====

No. 2
# MgZrSc

An optimized crystal structure of MgZrSc (GGA-PBE, the Alexandria database).

## Properties
DFT total energy: -0.407 Ry per atom
energy of formation from the pure elements: -42 meV per atom
symmetry: P4/nmm (129)
energy relative to the lowest polymorph listed for this composition: 0.025 eV per formula unit
magnetic moment: 0.0 μB per cell

a b c (Å): 3.222 3.222 13.457
angles (deg): 90.00 90.00 90.00
Fractional positions:
Sc  0.000  0.500  0.252
Mg  0.500  0.000  0.080
Zr  0.500  0.000  0.415
Mg  0.000  0.500  0.920
Zr  0.000  0.500  0.585
Sc  0.500  0.000  0.748